Record 1
First-principles (GGA-PBEsol) data for a relaxed structure of CdNiAg, as listed in Alexandria.

Cell lengths 5.957, 5.957, 5.957 Å; angles 90.00, 90.00, 90.00 degrees
Atoms (fractional coordinates):
1 Cd 0.000 0.000 0.000
2 Cd 0.000 0.500 0.500
3 Cd 0.500 0.000 0.500
4 Cd 0.500 0.500 0.000
5 Ni 0.250 0.250 0.750
6 Ni 0.250 0.750 0.250
7 Ni 0.750 0.250 0.250
8 Ni 0.750 0.750 0.750
9 Ag 0.000 0.000 0.500
10 Ag 0.000 0.500 0.000
11 Ag 0.500 0.000 0.000
12 Ag 0.500 0.500 0.500

=====

Record 2
First-principles (GGA-PBEsol) data for a relaxed structure of Ti17N6O24, as listed in Alexandria.

Cell lengths 19.818, 7.423, 7.423 Å; angles 99.92, 90.00, 90.00 degrees
Atoms (fractional coordinates):
1 Ti 0.000 0.000 0.000
2 Ti 0.000 0.334 0.670
3 Ti 0.000 0.670 0.334
4 Ti 0.088 0.330 0.997
5 Ti 0.089 0.663 0.663
6 Ti 0.096 0.996 0.329
7 Ti 0.159 0.269 0.603
8 Ti 0.163 0.614 0.273
9 Ti 0.163 0.941 0.948
10 Ti 0.250 0.273 0.935
11 Ti 0.250 0.601 0.606
12 Ti 0.337 0.614 0.273
13 Ti 0.337 0.941 0.948
14 Ti 0.341 0.269 0.603
15 Ti 0.404 0.996 0.329
16 Ti 0.411 0.663 0.663
17 Ti 0.412 0.330 0.997
18 Ti 0.500 0.000 0.000
19 Ti 0.500 0.334 0.670
20 Ti 0.500 0.670 0.334
21 Ti 0.588 0.997 0.330
22 Ti 0.589 0.663 0.663
23 Ti 0.596 0.329 0.996
24 Ti 0.659 0.603 0.269
25 Ti 0.663 0.273 0.614
26 Ti 0.663 0.948 0.941
27 Ti 0.750 0.606 0.601
28 Ti 0.750 0.935 0.273
29 Ti 0.837 0.273 0.614
30 Ti 0.837 0.948 0.941
31 Ti 0.841 0.603 0.269
32 Ti 0.904 0.329 0.996
33 Ti 0.911 0.663 0.663
34 Ti 0.912 0.997 0.330
35 N 0.000 0.572 0.572
36 N 0.001 0.906 0.237
37 N 0.250 0.035 0.010
38 N 0.250 0.365 0.698
39 N 0.250 0.677 0.369
40 N 0.499 0.906 0.237
41 N 0.500 0.572 0.572
42 N 0.501 0.237 0.906
43 N 0.750 0.010 0.035
44 N 0.750 0.369 0.677
45 N 0.750 0.698 0.365
46 N 0.999 0.237 0.906
47 O 0.064 0.185 0.521
48 O 0.065 0.512 0.191
49 O 0.065 0.857 0.843
50 O 0.091 0.454 0.788
51 O 0.094 0.114 0.114
52 O 0.094 0.782 0.448
53 O 0.149 0.811 0.144
54 O 0.156 0.161 0.825
55 O 0.156 0.491 0.494
56 O 0.180 0.092 0.423
57 O 0.184 0.422 0.086
58 O 0.184 0.752 0.755
59 O 0.316 0.422 0.086
60 O 0.316 0.752 0.755
61 O 0.320 0.092 0.423
62 O 0.344 0.161 0.825
63 O 0.344 0.491 0.494
64 O 0.351 0.811 0.144
65 O 0.406 0.114 0.114
66 O 0.406 0.782 0.448
67 O 0.409 0.454 0.788
68 O 0.435 0.512 0.191
69 O 0.435 0.857 0.843
70 O 0.436 0.185 0.521
71 O 0.564 0.521 0.185
72 O 0.565 0.191 0.512
73 O 0.565 0.843 0.857
74 O 0.591 0.788 0.454
75 O 0.594 0.114 0.114
76 O 0.594 0.448 0.782
77 O 0.649 0.144 0.811
78 O 0.656 0.494 0.491
79 O 0.656 0.825 0.161
80 O 0.680 0.423 0.092
81 O 0.684 0.086 0.422
82 O 0.684 0.755 0.752
83 O 0.816 0.086 0.422
84 O 0.816 0.755 0.752
85 O 0.820 0.423 0.092
86 O 0.844 0.494 0.491
87 O 0.844 0.825 0.161
88 O 0.851 0.144 0.811
89 O 0.906 0.114 0.114
90 O 0.906 0.448 0.782
91 O 0.909 0.788 0.454
92 O 0.935 0.191 0.512
93 O 0.935 0.843 0.857
94 O 0.936 0.521 0.185

=====

Record 3
First-principles (GGA-PBEsol) data for a relaxed structure of Sc3Ta, as listed in Alexandria.

Cell lengths 6.940, 6.940, 6.940 Å; angles 90.00, 90.00, 90.00 degrees
Atoms (fractional coordinates):
1 Sc 0.000 0.000 0.000
2 Sc 0.000 0.500 0.500
3 Sc 0.250 0.250 0.250
4 Sc 0.250 0.250 0.750
5 Sc 0.250 0.750 0.250
6 Sc 0.250 0.750 0.750
7 Sc 0.500 0.000 0.500
8 Sc 0.500 0.500 0.000
9 Sc 0.750 0.250 0.250
10 Sc 0.750 0.250 0.750
11 Sc 0.750 0.750 0.250
12 Sc 0.750 0.750 0.750
13 Ta 0.000 0.000 0.500
14 Ta 0.000 0.500 0.000
15 Ta 0.500 0.000 0.000
16 Ta 0.500 0.500 0.500

=====

Record 4
First-principles (GGA-PBEsol) data for a relaxed structure of MnCd2Rh, as listed in Alexandria.

Cell lengths 2.887, 2.887, 27.156 Å; angles 90.00, 90.00, 120.00 degrees
Atoms (fractional coordinates):
1 Mn 0.000 0.000 0.000
2 Mn 0.333 0.667 0.667
3 Mn 0.667 0.333 0.333
4 Cd 0.000 0.000 0.249
5 Cd 0.000 0.000 0.751
6 Cd 0.333 0.667 0.418
7 Cd 0.333 0.667 0.915
8 Cd 0.667 0.333 0.085
9 Cd 0.667 0.333 0.582
10 Rh 0.000 0.000 0.500
11 Rh 0.333 0.667 0.167
12 Rh 0.667 0.333 0.833

=====

Record 5
First-principles (GGA-PBEsol) data for a relaxed structure of Hf2ZrCu2, as listed in Alexandria.

Cell lengths 7.486, 7.486, 3.126 Å; angles 90.00, 90.00, 90.00 degrees
Atoms (fractional coordinates):
1 Hf 0.172 0.328 0.000
2 Hf 0.328 0.828 0.000
3 Hf 0.672 0.172 0.000
4 Hf 0.828 0.672 0.000
5 Zr 0.000 0.000 0.500
6 Zr 0.500 0.500 0.500
7 Cu 0.121 0.621 0.500
8 Cu 0.379 0.121 0.500
9 Cu 0.621 0.879 0.500
10 Cu 0.879 0.379 0.500

=====

Record 6
First-principles (GGA-PBEsol) data for a relaxed structure of Ba2HgBi, as listed in Alexandria.

Cell lengths 8.373, 8.373, 8.373 Å; angles 90.00, 90.00, 90.00 degrees
Atoms (fractional coordinates):
1 Ba 0.250 0.250 0.250
2 Ba 0.250 0.250 0.750
3 Ba 0.250 0.750 0.250
4 Ba 0.250 0.750 0.750
5 Ba 0.750 0.250 0.250
6 Ba 0.750 0.250 0.750
7 Ba 0.750 0.750 0.250
8 Ba 0.750 0.750 0.750
9 Hg 0.000 0.000 0.000
10 Hg 0.000 0.500 0.500
11 Hg 0.500 0.000 0.500
12 Hg 0.500 0.500 0.000
13 Bi 0.000 0.000 0.500
14 Bi 0.000 0.500 0.000
15 Bi 0.500 0.000 0.000
16 Bi 0.500 0.500 0.500

=====

Record 7
First-principles (GGA-PBEsol) data for a relaxed structure of CaBePO2, as listed in Alexandria.

Cell lengths 4.076, 4.076, 5.842 Å; angles 90.00, 90.00, 90.00 degrees
Atoms (fractional coordinates):
1 Ca 0.000 0.000 0.000
2 Be 0.500 0.500 0.500
3 P 0.000 0.000 0.500
4 O 0.000 0.500 0.000
5 O 0.500 0.000 0.000

=====

Record 8
First-principles (GGA-PBEsol) data for a relaxed structure of RbCd3Cu, as listed in Alexandria.

Cell lengths 5.099, 5.099, 5.099 Å; angles 90.00, 90.00, 90.00 degrees
Atoms (fractional coordinates):
1 Rb 0.000 0.000 0.000
2 Cd 0.000 0.500 0.500
3 Cd 0.500 0.000 0.500
4 Cd 0.500 0.500 0.000
5 Cu 0.500 0.500 0.500

=====

Record 9
First-principles (GGA-PBEsol) data for a relaxed structure of TcAg4Te, as listed in Alexandria.

Cell lengths 5.388, 5.388, 5.388 Å; angles 60.00, 60.00, 60.00 degrees
Atoms (fractional coordinates):
1 Tc 0.000 0.000 0.000
2 Ag 0.124 0.625 0.625
3 Ag 0.625 0.124 0.625
4 Ag 0.625 0.625 0.124
5 Ag 0.625 0.625 0.625
6 Te 0.250 0.250 0.250

=====

Record 10
First-principles (GGA-PBEsol) data for a relaxed structure of CaMg3B, as listed in Alexandria.

Cell lengths 4.735, 4.735, 4.735 Å; angles 90.00, 90.00, 90.00 degrees
Atoms (fractional coordinates):
1 Ca 0.000 0.000 0.000
2 Mg 0.000 0.500 0.500
3 Mg 0.500 0.000 0.500
4 Mg 0.500 0.500 0.000
5 B 0.500 0.500 0.500

=====

Record 11
First-principles (GGA-PBEsol) data for a relaxed structure of ScTeOs2, as listed in Alexandria.

Cell lengths 2.985, 4.679, 4.949 Å; angles 90.00, 91.70, 90.00 degrees
Atoms (fractional coordinates):
1 Sc 0.000 0.000 0.000
2 Te 0.500 0.000 0.500
3 Os 0.337 0.500 0.233
4 Os 0.663 0.500 0.767

=====

Record 12
First-principles (GGA-PBEsol) data for a relaxed structure of LiTiTe2, as listed in Alexandria.

Cell lengths 3.871, 3.871, 6.880 Å; angles 90.00, 90.00, 120.00 degrees
Atoms (fractional coordinates):
1 Li 0.000 0.000 0.000
2 Ti 0.000 0.000 0.500
3 Te 0.333 0.667 0.741
4 Te 0.667 0.333 0.259

=====

| no. | theoretical density (g/cm³) | total DFT energy (no corrections) (eV per cell) |
| --- | --- | --- |
| 1 | 8.77 | -38.96 |
| 2 | 3.96 | -891.96 |
| 3 | 6.27 | -124.88 |
| 4 | 9.73 | -57.98 |
| 5 | 10.91 | -78.33 |
| 6 | 7.74 | -48.59 |
| 7 | 1.92 | -20.39 |
| 8 | 6.09 | -8.49 |
| 9 | 9.86 | -24.40 |
| 10 | 1.94 | -13.10 |
| 11 | 13.29 | -33.46 |
| 12 | 5.77 | -20.69 |